Crystalline YMgScOs at its relaxed geometry, computed with PBE.

Cell: 6.885 6.885 6.885 Å, 90.00 90.00 90.00°
Positions (direct):
Y (0.000, 0.000, 0.000)
Y (0.000, 0.500, 0.500)
Y (0.500, 0.000, 0.500)
Y (0.500, 0.500, 0.000)
Mg (0.250, 0.250, 0.750)
Mg (0.250, 0.750, 0.250)
Mg (0.750, 0.250, 0.250)
Mg (0.750, 0.750, 0.750)
Sc (0.000, 0.000, 0.500)
Sc (0.000, 0.500, 0.000)
Sc (0.500, 0.000, 0.000)
Sc (0.500, 0.500, 0.500)
Os (0.250, 0.250, 0.250)
Os (0.250, 0.750, 0.750)
Os (0.750, 0.250, 0.750)
Os (0.750, 0.750, 0.250)

Calculated values
M_tot   0.00 μB per formula unit
Energy of formation from the pure elements   -17 kJ per mole of atoms
Energy above the lowest structure with this stoichiometry   76.5 meV/atom